1.
This record from the Alexandria database describes an optimized crystal structure of ZrNiTe2. The functional is PBE.

Symmetry: Fm-3m (225)
Offset from the most stable computed form in kJ per mole of atoms: 56.4
ΔE_f (raw) in eV/atom: -0.141
Total energy in eV/cell: -21.176
Density in Mg/m³: 7.9

a = 4.946 Å, b = 4.946 Å, c = 4.946 Å
α = 60.00°, β = 60.00°, γ = 60.00°
Element x y z (fractional)
Te1 0.250 0.250 0.250
Te2 0.750 0.750 0.750
Ni1 0.000 0.000 0.000
Zr1 0.500 0.500 0.500

2.
This record from the Alexandria database describes an optimized crystal structure of LiEr2PuAu4. The functional is PBE.

Symmetry: R-3m (166)
Total energy in eV/cell: -43.706
Density in Mg/m³: 13.1
E_form in kJ/mol of formula units: -504

a = 4.982 Å, b = 4.982 Å, c = 8.621 Å
α = 73.20°, β = 73.20°, γ = 60.00°
Element x y z (fractional)
Au1 0.124 0.124 0.627
Au2 0.876 0.876 0.373
Au3 0.619 0.619 0.144
Au4 0.381 0.381 0.856
Er1 0.245 0.245 0.265
Er2 0.755 0.755 0.735
Li1 0.500 0.500 0.500
Pu1 0.000 0.000 0.000

3.
This record from the Alexandria database describes an optimized crystal structure of HoLu2Ag. The functional is PBE.

Symmetry: R-3m (166)
Offset from the most stable computed form in kJ per mole of atoms: 33.6
Total energy in eV/cell: -15.628
Density in Mg/m³: 9.3
E_form in kJ/mol of formula units: 81

a = 3.359 Å, b = 3.359 Å, c = 11.591 Å
α = 81.67°, β = 81.67°, γ = 60.00°
Element x y z (fractional)
Lu1 0.902 0.902 0.293
Lu2 0.098 0.098 0.707
Ag1 0.500 0.500 0.500
Ho1 0.000 0.000 0.000

4.
This record from the Alexandria database describes an optimized crystal structure of TaSiCl2. The functional is PBE.

Symmetry: I-42d (122)
Offset from the most stable computed form in kJ per mole of atoms: 56.7
ΔE_f (raw) in eV/atom: 0.106
Total energy in eV/cell: -41.091
Density in Mg/m³: 4.7

a = 8.906 Å, b = 8.906 Å, c = 6.779 Å
α = 48.94°, β = 48.94°, γ = 90.00°
Element x y z (fractional)
Ta1 0.750 0.250 0.500
Ta2 0.000 0.000 0.000
Si1 0.250 0.750 0.500
Si2 0.500 0.500 0.000
Cl1 0.976 0.625 0.250
Cl2 0.875 0.024 0.750
Cl3 0.774 0.125 0.250
Cl4 0.375 0.226 0.750

5.
This record from the Alexandria database describes an optimized crystal structure of Ni2BiRuCl. The functional is PBE.

Symmetry: P4/mmm (123)
ΔE_f (raw) in eV/atom: 1.487
Total energy in eV/cell: -19.131
Density in Mg/m³: 6.1

a = 4.813 Å, b = 5.397 Å, c = 4.813 Å
α = 90.00°, β = 90.00°, γ = 90.00°
Element x y z (fractional)
Ru1 0.500 0.500 0.500
Cl1 0.000 0.500 0.000
Bi1 0.000 0.000 0.000
Ni1 0.000 0.000 0.500
Ni2 0.500 0.000 0.000

6.
This record from the Alexandria database describes an optimized crystal structure of BeIn2Cl. The functional is PBE.

Symmetry: Pmmm (47)
Offset from the most stable computed form in kJ per mole of atoms: 17.5
ΔE_f (raw) in eV/atom: 0.058
Total energy in eV/cell: -10.818
Density in Mg/m³: 5.1

a = 3.292 Å, b = 4.899 Å, c = 5.565 Å
α = 90.00°, β = 90.00°, γ = 90.00°
Element x y z (fractional)
Be1 0.000 0.000 0.375
In1 0.000 0.000 0.875
In2 0.500 0.500 0.375
Cl1 0.500 0.500 0.875

7.
This record from the Alexandria database describes an optimized crystal structure of KCuMo2. The functional is PBE.

Symmetry: Cmmm (65)
Offset from the most stable computed form in kJ per mole of atoms: 22.2
Total energy in eV/cell: -23.207
Density in Mg/m³: 6.8
E_form in kJ/mol of formula units: 352

a = 2.647 Å, b = 2.647 Å, c = 10.591 Å
α = 90.00°, β = 90.00°, γ = 103.81°
Element x y z (fractional)
Mo1 0.000 0.000 0.451
Mo2 0.000 0.000 0.049
Cu1 0.500 0.500 0.250
K1 0.500 0.500 0.750

8.
This record from the Alexandria database describes an optimized crystal structure of KLa2Sc. The functional is PBE.

Symmetry: Immm (71)
Offset from the most stable computed form in kJ per mole of atoms: 22.8
Total energy in eV/cell: -15.568
Density in Mg/m³: 4.0
E_form in kJ/mol of formula units: 166

a = 7.329 Å, b = 7.329 Å, c = 7.329 Å
α = 150.36°, β = 129.05°, γ = 60.06°
Element x y z (fractional)
Sc1 0.750 0.250 0.500
K1 0.250 0.750 0.500
La1 0.972 0.972 0.000
La2 0.528 0.528 0.000

- Among the records above, which one has the lowest density?
  KLa2Sc

- total energy of number 3 (HoLu2Ag)?
  -15.628 eV/cell

Repeat the eighth record exactly.
This record from the Alexandria database describes an optimized crystal structure of KLa2Sc. The functional is PBE.

Symmetry: Immm (71)
Offset from the most stable computed form in kJ per mole of atoms: 22.8
Total energy in eV/cell: -15.568
Density in Mg/m³: 4.0
E_form in kJ/mol of formula units: 166

a = 7.329 Å, b = 7.329 Å, c = 7.329 Å
α = 150.36°, β = 129.05°, γ = 60.06°
Element x y z (fractional)
Sc1 0.750 0.250 0.500
K1 0.250 0.750 0.500
La1 0.972 0.972 0.000
La2 0.528 0.528 0.000